Below is a geometry-optimized CoSiHg2 structure, with properties calculated at the PBE-GGA level.

abc: 2.9502 2.9502 8.3412
angles: 90.00 90.00 90.00
Last column: nearest neighbours and their distance in Å.
Space group P4mm (No. 99)
Unique sites:
Co 0.0000 0.0000 0.0000 x1  4 Si 2.33
Si 0.5000 0.5000 0.8768 x1  4 Co 2.33
Hg 0.0000 0.0000 0.5782 x1  4 Hg 2.95, 4 Si 3.25
Hg 0.5000 0.5000 0.2450 x1  4 Co 2.92, 4 Hg 2.95, 1 Si 3.07

Formation energy from raw total energies: 0.1796 eV per atom
E: -3.1035 eV/atom
Calculated volume: 18.15 Å³/atom
Magnetic moment: 0.63 μB per cell
Crystal system: tetragonal